{"formula": "SrMgSe2Br", "functional": "PBE-GGA", "state": "optimized geometry", "lattice": [[5.781, 0.000, 0.000], [0.000, 5.781, 0.000], [0.000, 0.000, 5.694]], "species": ["Sr", "Br", "Se", "Se", "Mg"], "fractional_positions": [[0.000, 0.000, 0.000], [0.000, 0.000, 0.500], [0.500, 0.000, 0.000], [0.000, 0.500, 0.000], [0.500, 0.500, 0.500]], "e_above_lowest_polymorph_mev_per_atom": 812, "vol_a3_per_cell": 190, "e_tot_ev_per_atom": -2.767, "formation_energy_uncorrected_ev_per_atom": -0.38}